Density functional theory data (PBE-GGA) for a relaxed SnSb2N crystal.

Unit cell a=3.2543 b=24.0059 c=17.5789 alpha=9.85 beta=90.00 gamma=93.89
Last column: nearest neighbours and their distance in Å.
Fractional coordinates of all 8 atoms:
N  0.4283  0.8566  0.4780  2 Sb 2.06, 1 Sn 2.16
N  0.5717  0.1434  0.5220  2 Sb 2.06, 1 Sn 2.16
Sn  0.7169  0.4337  0.2373  1 N 2.16
Sn  0.2831  0.5663  0.7627  1 N 2.16
Sb  0.4010  0.8020  0.1999  2 Sb 2.77-3.06, 1 Sn 3.10
Sb  0.5990  0.1980  0.8001  2 Sb 2.77-3.06, 1 Sn 3.10
Sb  0.9754  0.9508  0.7220  2 N 2.06
Sb  0.0246  0.0492  0.2780  2 N 2.06

Results
* calculated density: 5.793 g/cm3
* formation energy from raw total energies: 115 kJ/mol of formula units



Density functional theory data (PBE-GGA) for a relaxed CaGe3Pt2 crystal.

Unit cell a=4.1809 b=8.6373 c=10.4184 alpha=107.61 beta=90.00 gamma=104.01
Last column: nearest neighbours and their distance in Å.
Fractional coordinates of all 18 atoms:
Pt  0.3586  0.7172  0.5589  7 Ge 2.50-2.71
Pt  0.8019  0.6038  0.8790  6 Ge 2.56-2.71
Pt  0.1981  0.3962  0.1210  6 Ge 2.56-2.71
Pt  0.4791  0.9581  0.2149  4 Ge 2.50-2.59
Pt  0.5209  0.0419  0.7851  4 Ge 2.50-2.59
Pt  0.6414  0.2828  0.4411  7 Ge 2.50-2.71
Ge  0.9648  0.9295  0.6437  4 Pt 2.56-2.71, 2 Ge 2.74
Ge  0.0352  0.0705  0.3563  4 Pt 2.56-2.71, 2 Ge 2.74
Ge  0.3328  0.6656  0.0539  4 Pt 2.50-2.71, 1 Ge 2.74
Ge  0.2183  0.4365  0.3806  4 Pt 2.50-2.63
Ge  0.3740  0.7480  0.8190  4 Pt 2.59-2.64, 1 Ge 2.74
Ge  0.7817  0.5635  0.6194  4 Pt 2.50-2.63
Ge  0.5000  0.0000  0.5000  4 Pt 2.63-2.88, 4 Ge 2.74
Ge  0.6672  0.3344  0.9461  4 Pt 2.50-2.71, 1 Ge 2.74
Ge  0.6260  0.2520  0.1810  4 Pt 2.59-2.64, 1 Ge 2.74
Ca  0.8411  0.6821  0.2954  6 Ge 3.12-3.43, 6 Pt 3.27-3.41
Ca  0.1589  0.3179  0.7046  6 Ge 3.12-3.43, 6 Pt 3.27-3.41
Ca  0.0000  0.0000  0.0000  4 Ge 3.15, 6 Pt 3.16

Results
* energy relative to the elements: -0.595 eV/atom
* calculated density: 9.310 g/cm3



Density functional theory data (PBE-GGA) for a relaxed Ac3Sm12Cd crystal.

Unit cell a=5.1807 b=5.1807 c=20.6762 alpha=90.00 beta=90.00 gamma=90.00
Last column: nearest neighbours and their distance in Å.
Fractional coordinates of all 16 atoms:
Ac  0.0000  0.0000  0.7562  12 Sm 3.66-3.71
Ac  0.0000  0.0000  0.2438  12 Sm 3.66-3.71
Ac  0.0000  0.0000  0.5000  12 Sm 3.66-3.71
Sm  0.5000  0.5000  0.7601  8 Sm 3.65-3.76, 4 Ac 3.66
Sm  0.5000  0.5000  0.0000  8 Sm 3.52, 4 Cd 3.66
Sm  0.5000  0.0000  0.3717  8 Sm 3.66-3.76, 4 Ac 3.70-3.71
Sm  0.5000  0.0000  0.6283  8 Sm 3.66-3.76, 4 Ac 3.70-3.71
Sm  0.0000  0.5000  0.1155  2 Cd 3.52, 8 Sm 3.52-3.66, 2 Ac 3.71
Sm  0.5000  0.5000  0.5000  4 Ac 3.66, 8 Sm 3.71
Sm  0.0000  0.5000  0.8845  2 Cd 3.52, 8 Sm 3.52-3.66, 2 Ac 3.71
Sm  0.5000  0.5000  0.2399  8 Sm 3.65-3.76, 4 Ac 3.66
Sm  0.5000  0.0000  0.1155  8 Sm 3.52-3.66, 2 Cd 3.52, 2 Ac 3.71
Sm  0.5000  0.0000  0.8845  8 Sm 3.52-3.66, 2 Cd 3.52, 2 Ac 3.71
Sm  0.0000  0.5000  0.3717  8 Sm 3.66-3.76, 4 Ac 3.70-3.71
Sm  0.0000  0.5000  0.6283  8 Sm 3.66-3.76, 4 Ac 3.70-3.71
Cd  0.0000  0.0000  0.0000  12 Sm 3.52-3.66

Results
* energy relative to the elements: 0.017 eV/atom
* calculated density: 7.773 g/cm3



Density functional theory data (PBE-GGA) for a relaxed Sm12MgCo5 crystal.

Unit cell a=8.5077 b=8.5077 c=8.5077 alpha=108.13 beta=110.62 gamma=109.67
Last column: nearest neighbours and their distance in Å.
Fractional coordinates of all 18 atoms:
Sm  0.5205  0.8166  0.7039  2 Co 2.89
Sm  0.3073  0.3144  0.6217  3 Co 2.75-2.88
Sm  0.6927  0.3144  0.0070  3 Co 2.75-2.88
Sm  0.1925  0.9929  0.8005  2 Co 2.72-2.74
Sm  0.8873  0.1834  0.7039  2 Co 2.89
Sm  0.8075  0.0071  0.1995  2 Co 2.72-2.74
Sm  0.4795  0.1834  0.2961  2 Co 2.89
Sm  0.1127  0.8166  0.2961  2 Co 2.89
Sm  0.1925  0.3920  0.1995  2 Co 2.72-2.74
Sm  0.6927  0.6856  0.3783  3 Co 2.75-2.88
Sm  0.8075  0.6080  0.8005  2 Co 2.72-2.74
Sm  0.3073  0.6856  0.9930  3 Co 2.75-2.88
Co  0.5000  0.8881  0.3881  1 Co 2.24
Co  0.3807  0.3807  0.0000  1 Co 2.34
Co  0.5000  0.1119  0.6119  1 Co 2.24
Co  0.6193  0.6193  0.0000  1 Co 2.34
Co  0.0000  0.0000  0.0000  4 Sm 2.74
Mg  0.0000  0.5000  0.5000  12 Sm 3.51-3.68

Results
* energy relative to the elements: -0.106 eV/atom
* calculated density: 7.441 g/cm3